Entry 1:
Computed, not measured: a relaxed Ac2MgPaNi6 crystal at the PBE level of DFT.

Unit cell a=11.9299 b=5.2519 c=8.3861 alpha=90.00 beta=130.60 gamma=90.00
With the nearest neighbours (Å) after each atom.
Space group C2/m (No. 12)
Inequivalent atoms, fractional coordinates:
Ac 0.2351 0.0000 0.1768 (multiplicity 4)  11 Ni 3.25-3.64, 2 Mg 3.40, 2 Pa 3.62
Mg 0.0000 0.5000 0.0000 (multiplicity 2)  6 Ni 2.54-2.77
Pa 0.0000 0.0000 0.5000 (multiplicity 2)  6 Ni 2.44-2.61
Ni 0.0306 0.2588 0.2883 (multiplicity 8)  3 Ni 2.42-2.53, 1 Pa 2.44, 1 Mg 2.54
Ni 0.2502 0.0000 0.5776 (multiplicity 4)  4 Ni 2.42-2.51, 1 Pa 2.61

Calculated values
Energy of formation from the pure elements (eV per formula unit): -1.95

Entry 2:
Computed, not measured: a relaxed Zr2ScIn crystal at the PBE level of DFT.

Unit cell a=3.1124 b=5.3781 c=5.5282 alpha=90.00 beta=96.19 gamma=90.00
With the nearest neighbours (Å) after each atom.
Space group P2/m (No. 10)
Inequivalent atoms, fractional coordinates:
Zr 0.2057 0.0000 0.2558 (multiplicity 2)  5 Zr 2.98-3.11, 2 In 3.11, 2 Sc 3.22
Sc 0.5000 0.5000 0.0000 (multiplicity 1)  4 In 3.02-3.32, 2 Sc 3.11, 4 Zr 3.22
In 0.0000 0.5000 0.5000 (multiplicity 1)  4 Sc 3.02-3.32, 4 Zr 3.11, 2 In 3.11

Calculated values
Energy of formation from the pure elements (eV per formula unit): -0.52